<P>
Compound: AlCo4
Source: Alexandria
Functional: SCAN
Structure: PBEsol geometry

Output
Fermi-level density of states = 2.96 states/eV/f.u.

a = 5.5331 Å, b = 5.5331 Å, c = 3.5241 Å
α = 90.00°, β = 90.00°, γ = 90.00°
Last column: nearest neighbours and their distance in Å.
Space group I4/m (No. 87)
Symmetry-distinct sites (fractional):
Al  0.0000  0.0000  0.0000 [2 per cell]  12 Co 2.49
Co  0.0948  0.3042  0.5000 [8 per cell]  9 Co 2.41-2.53, 3 Al 2.49

<Q>
Compound: AlCo4
Source: Alexandria
Functional: SCAN
Structure: PBEsol geometry

Output
Fermi-level density of states = 2.75 states/eV/f.u.

a = 2.5135 Å, b = 2.5135 Å, c = 10.3614 Å
α = 90.00°, β = 90.00°, γ = 120.00°
Last column: nearest neighbours and their distance in Å.
Space group P-3m1 (No. 164)
Symmetry-distinct sites (fractional):
Al  0.0000  0.0000  0.0000 [1 per cell]  6 Co 2.46, 6 Al 2.51
Co  0.3333  0.6667  0.1920 [2 per cell]  1 Co 2.23, 3 Al 2.46
Co  0.3333  0.6667  0.4075 [2 per cell]  4 Co 2.23-2.40

Which is most stable? The ranking, best first, is <P>, <Q>.

<P>
Compound: AlCo2Hg
Source: Alexandria
Functional: SCAN
Structure: PBEsol geometry

Output
Fermi-level density of states = 1.73 states/eV/f.u.

a = 3.7229 Å, b = 3.7229 Å, c = 7.7109 Å
α = 90.00°, β = 90.00°, γ = 90.00°
Last column: nearest neighbours and their distance in Å.
Space group I-4m2 (No. 119)
Symmetry-distinct sites (fractional):
Al  0.0000  0.0000  0.0000 [2 per cell]  8 Co 2.63-2.68, 4 Hg 2.68
Co  0.0000  0.0000  0.5000 [2 per cell]  4 Al 2.63, 4 Hg 2.68, 4 Co 2.68
Co  0.0000  0.5000  0.2500 [2 per cell]  4 Hg 2.63, 4 Co 2.68, 4 Al 2.68
Hg  0.0000  0.5000  0.7500 [2 per cell]  8 Co 2.63-2.68, 4 Al 2.68

<Q>
Compound: AlCo2Hg
Source: Alexandria
Functional: SCAN
Structure: PBEsol geometry

Output
Fermi-level density of states = 1.16 states/eV/f.u.

a = 9.1380 Å, b = 2.8758 Å, c = 4.3429 Å
α = 90.00°, β = 108.40°, γ = 90.00°
Last column: nearest neighbours and their distance in Å.
Space group Cm (No. 8)
Symmetry-distinct sites (fractional):
Al  0.0000  0.0000  0.0000 [2 per cell]  7 Co 2.53-2.73
Co  0.2425  0.5000  0.1914 [2 per cell]  2 Co 2.46, 3 Al 2.55-2.73, 4 Hg 2.60-2.62
Co  0.4665  0.0000  0.4511 [2 per cell]  2 Co 2.46, 4 Al 2.53-2.72, 3 Hg 2.67-2.69
Hg  0.2276  0.0000  0.6787 [2 per cell]  7 Co 2.60-2.69, 3 Al 2.83-2.85, 2 Hg 2.88

<R>
Compound: AlCo2Hg
Source: Alexandria
Functional: SCAN
Structure: PBEsol geometry

Output
Fermi-level density of states = 2.67 states/eV/f.u.

a = 5.9433 Å, b = 5.9433 Å, c = 5.9433 Å
α = 90.00°, β = 90.00°, γ = 90.00°
Last column: nearest neighbours and their distance in Å.
Space group Fm-3m (No. 225)
Symmetry-distinct sites (fractional):
Al  0.0000  0.0000  0.0000 [4 per cell]  8 Co 2.57
Co  0.2500  0.2500  0.2500 [8 per cell]  4 Hg 2.57, 4 Al 2.57
Hg  0.0000  0.0000  0.5000 [4 per cell]  8 Co 2.57

Which is most stable? The ranking, best first, is <Q>, <P>, <R>.

<P>
Compound: AlCoHg2
Source: Alexandria
Functional: SCAN
Structure: PBEsol geometry

Output
Fermi-level density of states = 2.69 states/eV/f.u.

a = 6.3574 Å, b = 6.3574 Å, c = 6.3574 Å
α = 90.00°, β = 90.00°, γ = 90.00°
Last column: nearest neighbours and their distance in Å.
Space group Fm-3m (No. 225)
Symmetry-distinct sites (fractional):
Al  0.0000  0.0000  0.0000 [4 per cell]  8 Hg 2.75
Co  0.0000  0.0000  0.5000 [4 per cell]  8 Hg 2.75
Hg  0.2500  0.2500  0.2500 [8 per cell]  4 Co 2.75, 4 Al 2.75

<Q>
Compound: AlCoHg2
Source: Alexandria
Functional: SCAN
Structure: PBEsol geometry

Output
Fermi-level density of states = 1.99 states/eV/f.u.

a = 3.9724 Å, b = 3.9724 Å, c = 8.1906 Å
α = 90.00°, β = 90.00°, γ = 90.00°
Last column: nearest neighbours and their distance in Å.
Space group I4/mmm (No. 139)
Symmetry-distinct sites (fractional):
Al  0.0000  0.0000  0.0000 [2 per cell]  4 Co 2.81, 8 Hg 2.85
Co  0.0000  0.0000  0.5000 [2 per cell]  4 Al 2.81, 8 Hg 2.85
Hg  0.0000  0.5000  0.2500 [4 per cell]  4 Hg 2.81, 4 Co 2.85, 4 Al 2.85

<R>
Compound: AlCoHg2
Source: Alexandria
Functional: SCAN
Structure: PBEsol geometry

Output
Fermi-level density of states = 1.73 states/eV/f.u.

a = 3.0026 Å, b = 3.0026 Å, c = 26.3562 Å
α = 90.00°, β = 90.00°, γ = 120.00°
Last column: nearest neighbours and their distance in Å.
Space group R3m (No. 160, hexagonal axes)
Symmetry-distinct sites (fractional):
Al  0.0000  0.0000  0.0000 [3 per cell]  3 Co 2.38
Co  0.0000  0.0000  0.7286 [3 per cell]  3 Al 2.38
Hg  0.0000  0.0000  0.2426 [3 per cell]  3 Al 2.95, 9 Hg 3.00-3.19
Hg  0.0000  0.0000  0.4742 [3 per cell]  3 Co 2.71, 6 Hg 3.00

<S>
Compound: AlCoHg2
Source: Alexandria
Functional: SCAN
Structure: PBEsol geometry

Output
Fermi-level density of states = 2.03 states/eV/f.u.

a = 8.4980 Å, b = 8.4980 Å, c = 4.6218 Å
α = 90.00°, β = 90.00°, γ = 90.00°
Last column: nearest neighbours and their distance in Å.
Space group I-42d (No. 122)
Symmetry-distinct sites (fractional):
Al  0.0000  0.0000  0.0000 [4 per cell]  2 Co 2.31
Co  0.0000  0.0000  0.5000 [4 per cell]  2 Al 2.31, 4 Hg 2.50
Hg  0.1402  0.7500  0.6250 [8 per cell]  2 Co 2.50

Which is most stable? The ranking, best first, is <R>, <Q>, <P>, <S>.

<P>
Compound: AlCoI2N
Source: Alexandria
Functional: SCAN
Structure: PBEsol geometry

Output
Fermi-level density of states = 4.10 states/eV/f.u.

a = 5.5419 Å, b = 5.5419 Å, c = 3.5022 Å
α = 90.00°, β = 90.00°, γ = 90.00°
Last column: nearest neighbours and their distance in Å.
Space group P4/mmm (No. 123)
Symmetry-distinct sites (fractional):
Al  0.0000  0.0000  0.0000 [1 per cell]  2 N 1.75
Co  0.5000  0.5000  0.5000 [1 per cell]  8 I 3.28, 2 Co 3.50
I  0.0000  0.5000  0.0000 [2 per cell]  2 Al 2.77
N  0.0000  0.0000  0.5000 [1 per cell]  2 Al 1.75

<Q>
Compound: AlCoI2N
Source: Alexandria
Functional: SCAN
Structure: PBEsol geometry

Output
Fermi-level density of states = 2.50 states/eV/f.u.

a = 5.3754 Å, b = 5.3754 Å, c = 3.4825 Å
α = 90.00°, β = 90.00°, γ = 90.00°
Last column: nearest neighbours and their distance in Å.
Space group P4/mmm (No. 123)
Symmetry-distinct sites (fractional):
Al  0.0000  0.0000  0.0000 [1 per cell]  8 I 3.20, 2 Al 3.48
Co  0.5000  0.5000  0.5000 [1 per cell]  2 N 1.74
I  0.0000  0.5000  0.5000 [2 per cell]  2 Co 2.69
N  0.5000  0.5000  0.0000 [1 per cell]  2 Co 1.74

Which is most stable? The ranking, best first, is <Q>, <P>.

<P>
Compound: Mg14AlCoO16
Source: Alexandria
Functional: SCAN
Structure: PBEsol geometry

Output
Fermi-level density of states = 0.02 states/eV/f.u.

a = 4.1968 Å, b = 8.4120 Å, c = 8.4483 Å
α = 90.00°, β = 90.00°, γ = 90.00°
Last column: nearest neighbours and their distance in Å.
Space group Pmmm (No. 47)
Symmetry-distinct sites (fractional):
Mg  0.0000  0.0000  0.0000 [1 per cell]  6 O 2.03-2.16
Mg  0.0000  0.0000  0.5000 [1 per cell]  6 O 2.07-2.23
Mg  0.0000  0.2528  0.2446 [4 per cell]  6 O 2.07-2.16
Mg  0.5000  0.0000  0.2479 [2 per cell]  6 O 2.09-2.13
Mg  0.5000  0.2504  0.5000 [2 per cell]  6 O 2.10-2.11
Mg  0.5000  0.2542  0.0000 [2 per cell]  6 O 2.07-2.14
Mg  0.5000  0.5000  0.2432 [2 per cell]  6 O 2.05-2.17
Al  0.0000  0.5000  0.5000 [1 per cell]  4 O 1.86-1.98
Co  0.0000  0.5000  0.0000 [1 per cell]  4 O 2.10-2.18
O  0.0000  0.0000  0.2554 [2 per cell]  6 Mg 2.07-2.16
O  0.0000  0.2408  0.0000 [2 per cell]  5 Mg 2.03-2.10, 1 Co 2.18
O  0.0000  0.2647  0.5000 [2 per cell]  1 Al 1.98, 4 Mg 2.10-2.16
O  0.0000  0.5000  0.2803 [2 per cell]  1 Al 1.86
O  0.5000  0.0000  0.0000 [1 per cell]  6 Mg 2.09-2.14
O  0.5000  0.0000  0.5000 [1 per cell]  6 Mg 2.10-2.13
O  0.5000  0.2511  0.2511 [4 per cell]  6 Mg 2.10-2.12
O  0.5000  0.5000  0.0000 [1 per cell]  4 Mg 2.05-2.07, 2 Co 2.10
O  0.5000  0.5000  0.5000 [1 per cell]  2 Al 2.10, 4 Mg 2.10-2.17

<Q>
Compound: Mg14AlCoO16
Source: Alexandria
Functional: SCAN
Structure: PBEsol geometry

Output
Fermi-level density of states = 0.99 states/eV/f.u.

a = 8.4346 Å, b = 8.4346 Å, c = 4.1981 Å
α = 90.00°, β = 90.00°, γ = 90.00°
Last column: nearest neighbours and their distance in Å.
Space group P4/mmm (No. 123)
Symmetry-distinct sites (fractional):
Mg  0.0000  0.2438  0.0000 [4 per cell]  6 O 2.06-2.16
Mg  0.0000  0.5000  0.5000 [2 per cell]  4 O 1.98-2.10
Mg  0.2443  0.2443  0.5000 [4 per cell]  6 O 2.07-2.17
Mg  0.2479  0.5000  0.0000 [4 per cell]  6 O 2.09-2.13
Al  0.5000  0.5000  0.5000 [1 per cell]  6 O 1.93-2.10
Co  0.0000  0.0000  0.5000 [1 per cell]  6 O 2.10-2.24
O  0.0000  0.0000  0.0000 [1 per cell]  4 Mg 2.06, 2 Co 2.10
O  0.0000  0.2655  0.5000 [4 per cell]  5 Mg 1.98-2.11
O  0.0000  0.5000  0.0000 [2 per cell]  6 Mg 2.09-2.16
O  0.2511  0.2511  0.0000 [4 per cell]  6 Mg 2.10-2.12
O  0.2708  0.5000  0.5000 [4 per cell]  1 Al 1.93, 2 Mg 2.11
O  0.5000  0.5000  0.0000 [1 per cell]  2 Al 2.10, 4 Mg 2.13

Which is most stable? The ranking, best first, is <P>, <Q>.

<P>
Compound: AlCoNi
Source: Alexandria
Functional: SCAN
Structure: PBEsol geometry

Output
Fermi-level density of states = 2.17 states/eV/f.u.

a = 2.7632 Å, b = 2.7632 Å, c = 8.7464 Å
α = 90.00°, β = 90.00°, γ = 90.00°
Last column: nearest neighbours and their distance in Å.
Space group I4mm (No. 107)
Symmetry-distinct sites (fractional):
Al  0.0000  0.0000  0.0000 [2 per cell]  4 Co 2.43, 4 Ni 2.44
Co  0.0000  0.0000  0.3349 [2 per cell]  4 Al 2.43, 4 Ni 2.45
Ni  0.0000  0.0000  0.6668 [2 per cell]  4 Al 2.44, 4 Co 2.45

<Q>
Compound: AlCoNi
Source: Alexandria
Functional: SCAN
Structure: PBEsol geometry

Output
Fermi-level density of states = 2.06 states/eV/f.u.

a = 5.3814 Å, b = 5.3814 Å, c = 5.3814 Å
α = 90.00°, β = 90.00°, γ = 90.00°
Last column: nearest neighbours and their distance in Å.
Space group F-43m (No. 216)
Symmetry-distinct sites (fractional):
Al  0.0000  0.0000  0.0000 [4 per cell]  4 Co 2.33, 4 Ni 2.33
Co  0.2500  0.2500  0.7500 [4 per cell]  4 Al 2.33
Ni  0.2500  0.2500  0.2500 [4 per cell]  4 Al 2.33

Which is most stable? The ranking, best first, is <P>, <Q>.